Material: YIn3Ni2
Method: DFT, GGA-PBE
State: optimized geometry

- ΔE_f: -296.7 meV/atom
- E above lowest polymorph: 0.000 eV per formula unit

Structure (POSCAR):
```
YIn3Ni2
1.0
-1.254 2.449 3.195
-1.837 -7.713 2.408
7.777 2.915 0.817
Y In Ni
2 6 4
Cartesian
4.328 -1.080 5.308
0.358 -1.269 1.113
2.498 -2.738 3.079
5.192 1.945 0.547
5.298 1.555 3.669
-0.611 -3.903 2.752
-0.505 -4.293 5.875
2.189 0.390 3.342
6.041 3.723 2.299
-1.355 -6.072 4.122
0.236 -1.803 4.257
4.450 -0.545 2.164
```

=====

Material: Sm2EuHo
Method: DFT, GGA-PBE
State: optimized geometry

- ΔE_f: 149.0 meV/atom
- E above lowest polymorph: 0.423 eV per formula unit

Structure (POSCAR):
```
Sm2EuHo
1.0
-3.622 3.547 2.816
-5.326 0.957 -2.084
-4.623 -2.164 2.752
Eu Ho Sm
1 1 2
Cartesian
-6.785 1.170 1.742
0.000 0.000 0.000
-3.393 0.585 0.871
-10.178 1.754 2.613
```

=====

Material: YSiH
Method: DFT, GGA-PBE
State: optimized geometry

- E above lowest polymorph: 0.948 eV per formula unit

Structure (POSCAR):
```
YSiH
1.0
5.895 0.000 0.000
0.000 5.961 0.000
0.000 0.000 5.929
Y H Si
4 4 4
Cartesian
4.476 1.490 2.981
4.367 4.471 0.017
1.420 4.471 2.948
1.528 1.490 5.912
5.503 1.490 4.889
3.340 4.471 1.925
0.393 4.471 1.040
2.555 1.490 4.004
1.474 1.490 2.841
1.473 4.471 5.806
4.421 4.471 3.088
4.422 1.490 0.123
```

=====

Material: MgHgPd6
Method: DFT, GGA-PBE
State: optimized geometry

- ΔE_f: -285.7 meV/atom
- E above lowest polymorph: 0.000 eV per formula unit

Structure (POSCAR):
```
MgHgPd6
1.0
4.025 0.000 0.000
0.000 5.665 -0.042
0.000 0.030 5.665
Mg Hg Pd
1 1 6
Cartesian
2.013 0.000 0.000
2.013 2.847 2.811
0.000 4.275 1.365
0.000 1.420 4.257
0.000 4.291 4.237
0.000 1.403 1.385
2.013 2.832 -0.021
2.013 0.015 2.832
```

=====

Material: TbPrEr4
Method: DFT, GGA-PBE
State: optimized geometry

- ΔE_f: 282.5 meV/atom
- E above lowest polymorph: 1.554 eV per formula unit

Structure (POSCAR):
```
TbPrEr4
1.0
-0.234 0.665 -6.542
5.456 -0.813 -3.587
0.636 -5.284 -3.869
Pr Tb Er
1 1 4
Cartesian
1.465 -1.358 -3.499
0.000 0.000 0.000
3.345 -0.744 -6.813
0.924 -2.990 -6.955
3.665 -3.399 -8.757
3.782 -3.733 -5.470
```

=====

Material: BaLa2Ir
Method: DFT, GGA-PBE
State: optimized geometry

- ΔE_f: -290.2 meV/atom
- E above lowest polymorph: 0.685 eV per formula unit

Structure (POSCAR):
```
BaLa2Ir
1.0
3.728 0.054 0.000
-0.385 3.708 0.000
0.000 0.000 10.400
Ir Ba La
1 1 2
Cartesian
1.671 1.881 7.800
1.671 1.881 2.600
0.000 0.000 9.421
0.000 0.000 6.179
```

=====

Material: SmBeCu2
Method: DFT, GGA-PBE
State: optimized geometry

- ΔE_f: -129.1 meV/atom

Structure (POSCAR):
```
SmBeCu2
1.0
-1.155 -2.385 -3.035
2.274 -0.288 -3.314
2.777 -4.560 -0.148
Be Cu Sm
1 2 1
Cartesian
0.000 0.000 0.000
3.294 -5.993 -4.568
0.601 -1.240 -1.929
1.948 -3.616 -3.249
```

=====

Material: AlCd2TcN
Method: DFT, GGA-PBE
State: optimized geometry

- Formation energy (no corrections): 888 meV/atom

Structure (POSCAR):
```
AlCd2TcN
1.0
5.369 0.000 0.000
0.000 3.367 0.000
0.000 0.000 5.369
N Al Tc Cd
1 1 1 2
Cartesian
0.000 1.684 0.000
0.000 0.000 0.000
2.684 1.684 2.684
0.000 0.000 2.684
2.684 0.000 0.000
```

=====

Material: MgMo2Br
Method: DFT, GGA-PBE
State: optimized geometry

- E above lowest polymorph: 2.575 eV per formula unit
- Formation energy (no corrections): 771 meV/atom

Structure (POSCAR):
```
MgMo2Br
1.0
-0.728 1.998 2.238
-3.362 1.712 -2.621
-3.562 -3.704 2.149
Br Mg Mo
1 1 2
Cartesian
-2.935 0.929 0.345
-4.716 -0.923 1.420
-3.381 -3.516 2.040
-1.962 -2.040 1.184
```

=====

Material: Tb5Y4
Method: DFT, GGA-PBE
State: optimized geometry

- ΔE_f: 60.5 meV/atom
- E above lowest polymorph: 0.193 eV per formula unit

Structure (POSCAR):
```
Tb5Y4
1.0
7.037 0.000 0.000
0.000 9.750 0.000
0.000 -4.875 8.444
Tb Y
10 8
Cartesian
5.278 3.360 5.820
5.278 -1.515 2.624
5.278 3.030 0.000
1.759 1.515 2.624
1.759 -3.360 5.820
1.759 6.720 0.000
0.000 4.875 2.815
3.518 0.000 5.629
0.000 0.000 5.629
3.518 4.875 2.815
0.000 0.000 0.000
3.518 0.000 0.000
5.278 1.727 2.991
5.278 -3.148 5.453
5.278 6.297 0.000
1.759 3.148 5.453
1.759 -1.727 2.991
1.759 3.453 0.000
```

=====

Material: Cs2Er2TeO6
Method: DFT, GGA-PBE
State: optimized geometry

- Formation energy (no corrections): -2253 meV/atom

Structure (POSCAR):
```
Cs2Er2TeO6
1.0
-1.852 -2.430 5.138
5.773 -0.296 -1.523
-0.087 6.965 2.132
Cs Er Te O
2 2 1 6
Cartesian
-0.583 -2.075 4.029
4.504 -0.651 -0.414
3.179 2.473 1.771
0.654 1.766 3.976
-0.044 3.483 1.066
2.791 2.590 4.024
2.045 4.344 1.066
1.043 1.650 1.722
-0.486 3.636 3.276
1.788 -0.105 4.681
4.319 0.604 2.470
```

=====

Material: Ba4SnSb
Method: DFT, GGA-PBE
State: optimized geometry

- Formation energy (no corrections): -713 meV/atom

Structure (POSCAR):
```
Ba4SnSb
1.0
8.348 0.617 0.000
-0.622 8.348 0.000
-3.863 -4.482 8.378
Ba Sn Sb
8 2 2
Cartesian
-0.154 2.067 0.000
3.706 6.589 0.000
-0.176 2.086 4.191
4.039 2.397 4.187
-0.486 6.260 4.187
0.157 -2.107 8.378
4.350 -1.777 4.191
4.017 2.415 8.378
-2.398 4.020 6.284
6.261 0.463 2.095
1.776 4.328 2.094
2.087 0.154 6.284
```